A plane-wave DFT calculation with meta-GGA SCAN was carried out for a PBEsol-optimized structure of LaAu.

Lattice parameters (Å, degrees): 6.748 8.901 10.486 90.00 90.00 90.00
Positions (direct):
Au 0.750 0.138 0.850
Au 0.250 0.862 0.150
Au 0.750 0.638 0.150
Au 0.250 0.362 0.850
Au 0.750 0.543 0.577
Au 0.250 0.457 0.423
Au 0.750 0.043 0.423
Au 0.250 0.957 0.577
Au 0.000 0.750 0.939
Au 0.500 0.250 0.061
Au 0.000 0.250 0.061
Au 0.500 0.750 0.939
La 0.750 0.472 0.883
La 0.250 0.528 0.117
La 0.750 0.972 0.117
La 0.250 0.028 0.883
La 0.750 0.861 0.703
La 0.250 0.139 0.297
La 0.750 0.361 0.297
La 0.250 0.639 0.703
La 0.000 0.750 0.395
La 0.500 0.250 0.605
La 0.000 0.250 0.605
La 0.500 0.750 0.395

Values from the calculation:
Its calculated formation energy is -0.953 eV/atom. As for the space group: Pbcm. The calculation puts the volume at 629.8 Å³ per cell. The density of states at the Fermi level is 0.871 states/eV per atom.